Record 1
{"formula": "Cu2RhCl", "functional": "PBE", "state": "relaxed", "lattice": [[-1.448, 1.983, 5.787], [1.448, -1.983, 5.787], [1.448, 1.983, -5.787]], "species": ["Cu", "Cu", "Rh", "Cl"], "fractional_positions": [[0.000, 0.000, 0.000], [0.624, 0.124, 0.500], [0.187, 0.687, 0.500], [0.356, 0.356, 0.000]], "de_polymorph_ev_per_atom": 0.088}

***

Record 2
{"formula": "Cu2RhCl", "functional": "PBE", "state": "relaxed", "lattice": [[3.641, 0.000, 0.000], [0.000, 3.641, 0.000], [0.000, 0.000, 4.315]], "species": ["Cu", "Cu", "Rh", "Cl"], "fractional_positions": [[0.000, 0.500, 0.000], [0.500, 0.000, 0.000], [0.000, 0.000, 0.500], [0.500, 0.500, 0.500]], "de_polymorph_ev_per_atom": 0.311}

***

Record 3
{"formula": "Cu2RhCl", "functional": "PBE", "state": "relaxed", "lattice": [[4.885, -1.450, 0.000], [4.885, 1.450, 0.000], [-1.836, 0.000, 3.984]], "species": ["Cu", "Cu", "Rh", "Cl"], "fractional_positions": [[0.244, 0.244, 0.247], [0.756, 0.756, 0.753], [0.000, 0.000, 0.500], [0.500, 0.500, 0.000]], "de_polymorph_ev_per_atom": 0.237}

***

Record 4
{"formula": "Cu2RhCl", "functional": "PBE", "state": "relaxed", "lattice": [[1.483, 0.856, 7.651], [-1.483, 0.856, 7.651], [0.000, -1.713, 7.651]], "species": ["Cu", "Cu", "Rh", "Cl"], "fractional_positions": [[0.248, 0.248, 0.248], [0.752, 0.752, 0.752], [0.000, 0.000, 0.000], [0.500, 0.500, 0.500]], "de_polymorph_ev_per_atom": 0.026}

***

Record 5
{"formula": "CuRhCl", "functional": "PBE", "state": "relaxed", "lattice": [[0.000, 2.976, 2.976], [2.976, 0.000, 2.976], [2.976, 2.976, 0.000]], "species": ["Cu", "Rh", "Cl"], "fractional_positions": [[0.000, 0.000, 0.000], [0.750, 0.750, 0.750], [0.500, 0.500, 0.500]], "de_polymorph_ev_per_atom": 0.290}

***

Record 6
{"formula": "Cu2RhCl", "functional": "PBE", "state": "relaxed", "lattice": [[4.056, -1.472, 0.000], [4.056, 1.472, 0.000], [-0.829, 0.000, 5.968]], "species": ["Cu", "Cu", "Rh", "Cl"], "fractional_positions": [[0.000, 0.000, 0.000], [0.741, 0.741, 0.174], [0.261, 0.261, 0.827], [0.667, 0.667, 0.523]], "de_polymorph_ev_per_atom": 0.031}

***

Record 7
{"formula": "Cu2RhCl", "functional": "PBE", "state": "relaxed", "lattice": [[2.512, -3.985, 0.000], [2.512, 3.985, 0.000], [0.000, 0.000, 2.861]], "species": ["Cu", "Cu", "Rh", "Cl"], "fractional_positions": [[0.000, 0.500, 0.000], [0.500, 0.000, 0.000], [0.000, 0.000, 0.500], [0.500, 0.500, 0.500]], "de_polymorph_ev_per_atom": 0.212}

***

Record 8
{"formula": "Cu2RhCl", "functional": "PBE", "state": "relaxed", "lattice": [[0.000, 3.068, 3.068], [3.068, 0.000, 3.068], [3.068, 3.068, 0.000]], "species": ["Cu", "Cu", "Rh", "Cl"], "fractional_positions": [[0.000, 0.000, 0.000], [0.250, 0.250, 0.250], [0.750, 0.750, 0.750], [0.500, 0.500, 0.500]], "de_polymorph_ev_per_atom": 0.389}

***

Record 9
{"formula": "Cu2RhCl6", "functional": "PBE", "state": "relaxed", "lattice": [[6.785, -5.474, 0.000], [6.785, 5.474, 0.000], [-0.717, 0.000, 6.157]], "species": ["Cu", "Cu", "Cu", "Cu", "Rh", "Rh", "Cl", "Cl", "Cl", "Cl", "Cl", "Cl", "Cl", "Cl", "Cl", "Cl", "Cl", "Cl"], "fractional_positions": [[0.022, 0.196, 0.266], [0.196, 0.022, 0.766], [0.804, 0.978, 0.234], [0.978, 0.804, 0.734], [0.419, 0.581, 0.750], [0.581, 0.419, 0.250], [0.036, 0.220, 0.626], [0.165, 0.624, 0.876], [0.220, 0.036, 0.126], [0.332, 0.476, 0.405], [0.376, 0.835, 0.624], [0.476, 0.332, 0.905], [0.524, 0.668, 0.095], [0.624, 0.165, 0.376], [0.668, 0.524, 0.595], [0.780, 0.964, 0.874], [0.835, 0.376, 0.124], [0.964, 0.780, 0.374]], "de_polymorph_ev_per_atom": 0.012}

***

Record 10
{"formula": "CuRhCl", "functional": "PBE", "state": "relaxed", "lattice": [[3.076, 0.000, 0.000], [-1.538, 2.664, 0.000], [0.000, 0.000, 5.634]], "species": ["Cu", "Rh", "Cl"], "fractional_positions": [[0.000, 0.000, 0.000], [0.667, 0.333, 0.329], [0.333, 0.667, 0.678]], "de_polymorph_ev_per_atom": 0.000}

***

Record 11
{"formula": "Cu2RhCl", "functional": "PBE", "state": "relaxed", "lattice": [[2.922, 0.000, 0.000], [0.000, 4.294, 0.000], [0.000, 0.000, 4.510]], "species": ["Cu", "Cu", "Rh", "Cl"], "fractional_positions": [[0.000, 0.000, 0.000], [0.500, 0.500, 0.000], [0.000, 0.500, 0.500], [0.500, 0.000, 0.500]], "de_polymorph_ev_per_atom": 0.242}

***

Record 12
{"formula": "CuRhCl4", "functional": "PBE", "state": "relaxed", "lattice": [[6.126, 0.000, 0.000], [-1.734, 5.922, 0.000], [-2.195, -2.933, 7.977]], "species": ["Cu", "Cu", "Rh", "Rh", "Cl", "Cl", "Cl", "Cl", "Cl", "Cl", "Cl", "Cl"], "fractional_positions": [[0.125, 0.368, 0.242], [0.875, 0.632, 0.758], [0.305, 0.055, 0.610], [0.695, 0.945, 0.390], [0.037, 0.272, 0.599], [0.203, 0.935, 0.828], [0.377, 0.610, 0.172], [0.438, 0.173, 0.400], [0.562, 0.827, 0.600], [0.623, 0.390, 0.828], [0.797, 0.065, 0.172], [0.963, 0.728, 0.401]]}

***

Record 13
{"formula": "Cu2RhCl8", "functional": "PBE", "state": "relaxed", "lattice": [[4.501, -5.492, 0.000], [4.501, 5.492, 0.000], [-1.239, 0.000, 5.797]], "species": ["Cu", "Cu", "Rh", "Cl", "Cl", "Cl", "Cl", "Cl", "Cl", "Cl", "Cl"], "fractional_positions": [[0.197, 0.197, 0.008], [0.803, 0.803, 0.992], [0.500, 0.500, 0.500], [0.033, 0.033, 0.249], [0.225, 0.517, 0.242], [0.291, 0.291, 0.683], [0.483, 0.775, 0.758], [0.517, 0.225, 0.242], [0.709, 0.709, 0.317], [0.775, 0.483, 0.758], [0.967, 0.967, 0.751]], "de_polymorph_ev_per_atom": 0.000}

***

Record 14
{"formula": "Cu2RhCl6", "functional": "PBE", "state": "relaxed", "lattice": [[6.917, -1.768, 0.000], [6.917, 1.768, 0.000], [-2.975, 0.000, 9.807]], "species": ["Cu", "Cu", "Rh", "Cl", "Cl", "Cl", "Cl", "Cl", "Cl"], "fractional_positions": [[0.212, 0.212, 0.330], [0.788, 0.788, 0.670], [0.000, 0.000, 0.000], [0.047, 0.047, 0.242], [0.188, 0.188, 0.623], [0.385, 0.385, 0.999], [0.615, 0.615, 0.001], [0.812, 0.812, 0.377], [0.953, 0.953, 0.758]], "de_polymorph_ev_per_atom": 0.000}

***

Computed E (eV/cell) in order:
-16.45; -15.56; -15.85; -16.69; -11.63; -16.68; -15.95; -15.24; -62.73; -12.50; -15.83; -44.08; -34.74; -31.47
Computed raw formation energy (eV per atom) in order:
0.236; 0.458; 0.384; 0.174; 0.556; 0.179; 0.360; 0.536; -0.527; 0.265; 0.390; -0.534; -0.402; -0.538
Computed magnetization (μB per atom) in order:
0.000; 0.000; 0.000; 0.218; 0.432; 0.000; 0.000; 0.299; 0.005; 0.447; 0.000; 0.000; 0.000; 0.047